Sc3WO8 | PBE with a Hubbard U | relaxed

Cell: 5.0284 5.0284 5.0284 Å, 90.00 90.00 90.00°
With the nearest neighbours (Å) after each atom.
Space group Pm-3m (No. 221)
One atom of each set of equivalent atoms:
Sc 0.0000 0.0000 0.5000 x3  8 O 2.21
W 0.5000 0.5000 0.5000 x1  8 O 2.09
O 0.2600 0.2600 0.2600 x8  1 W 2.09, 3 Sc 2.21

## Properties
DFT total energy: -97.780 eV per cell
Spin magnetization: 0.00 μB per formula unit